# MgCdNiSe3

A relaxed MgCdNiSe3 crystal (PBE, OQMD via LeMat-Bulk).

Values from the calculation:
As for the total energy: -42.1 eV per cell. The value obtained for the relative energy among the computed polymorphs is 0.00 kJ per mole of atoms.

```
12
Lattice="1.880 -6.364 0.000 1.880 6.364 0.000 0.000 0.000 10.505" Properties=species:S:1:pos:R:3 pbc="T T T"
Mg 1.880 3.448 7.879
Mg 1.880 -3.448 2.626
Cd 0.000 0.000 0.000
Cd 0.000 0.000 5.253
Ni 1.880 0.280 2.626
Ni 1.880 -0.280 7.879
Se 1.880 5.171 2.626
Se 1.880 1.939 0.878
Se 1.880 1.939 4.375
Se 1.880 -1.939 6.131
Se 1.880 -1.939 9.627
Se 1.880 -5.171 7.879
```